Entry 1:
A plane-wave DFT calculation with PBE was carried out for a relaxed structure of Ba2AsRu.

```
8
Lattice="7.601 0.000 0.000 0.000 4.388 0.000 -2.510 0.000 8.842" Properties=species:S:1:pos:R:3 pbc="T T T"
Ba 0.000 0.000 0.000
Ba 0.000 0.000 4.304
Ba 3.801 2.194 0.000
Ba 3.801 2.194 4.304
As 1.266 2.194 2.153
As 5.067 0.000 2.153
Ru 2.533 0.000 2.150
Ru 6.334 2.194 2.150
```

## Properties
**ΔE_f**: -1.6 eV per formula unit


Entry 2:
A plane-wave DFT calculation with PBE was carried out for a relaxed structure of Ba2AsRu.

```
8
Lattice="4.441 0.000 0.000 0.000 4.942 0.000 0.000 0.000 11.460" Properties=species:S:1:pos:R:3 pbc="T T T"
Ba 0.000 0.000 0.000
Ba 0.000 2.471 5.730
Ba 2.221 0.000 3.282
Ba 2.221 2.471 9.012
As 2.221 0.000 6.775
As 2.221 2.471 1.044
Ru 0.000 0.000 7.833
Ru 0.000 2.471 2.103
```

## Properties
**ΔE_f**: -1.5 eV per formula unit


Entry 3:
A plane-wave DFT calculation with PBE was carried out for a relaxed structure of Ba2AsRu.

```
4
Lattice="3.572 0.000 0.000 0.000 3.572 0.000 0.000 0.000 9.621" Properties=species:S:1:pos:R:3 pbc="T T T"
Ba 0.000 0.000 0.000
Ba 1.786 1.786 4.086
As 1.786 1.786 7.321
Ru 0.000 0.000 6.466
```

## Properties
**ΔE_f**: -0.1 eV per formula unit


Entry 4:
A plane-wave DFT calculation with PBE was carried out for a relaxed structure of BaAsRu2.

```
4
Lattice="3.198 0.000 0.000 0.000 3.804 0.000 -1.342 0.000 7.075" Properties=species:S:1:pos:R:3 pbc="T T T"
Ba 0.000 0.000 0.000
As -0.671 0.000 3.537
Ru 0.212 1.902 4.683
Ru 1.643 1.902 2.392
```

## Properties
**ΔE_f**: 1.4 eV per formula unit


Entry 5:
A plane-wave DFT calculation with PBE was carried out for a relaxed structure of BaAs4Ru.

```
6
Lattice="0.000 4.070 4.070 4.070 0.000 4.070 4.070 4.070 0.000" Properties=species:S:1:pos:R:3 pbc="T T T"
Ba 0.000 0.000 0.000
As 3.089 3.089 3.089
As 5.051 5.051 3.089
As 5.051 3.089 5.051
As 3.089 5.051 5.051
Ru 6.105 6.105 6.105
```

## Properties
**ΔE_f**: 1.9 eV per formula unit


Entry 6:
A plane-wave DFT calculation with PBE was carried out for a relaxed structure of BaAsRu.

```
12
Lattice="7.160 0.000 0.000 0.000 7.160 0.000 0.000 0.000 7.160" Properties=species:S:1:pos:R:3 pbc="T T T"
Ba 0.000 0.000 0.000
Ba 0.000 3.580 3.580
Ba 3.580 0.000 3.580
Ba 3.580 3.580 0.000
As 1.790 1.790 1.790
As 1.790 5.370 5.370
As 5.370 1.790 5.370
As 5.370 5.370 1.790
Ru 1.790 1.790 5.370
Ru 1.790 5.370 1.790
Ru 5.370 1.790 1.790
Ru 5.370 5.370 5.370
```

## Properties
**ΔE_f**: 3.6 eV per formula unit


Entry 7:
A plane-wave DFT calculation with PBE was carried out for a relaxed structure of BaAsRu2.

```
16
Lattice="4.946 0.000 0.000 0.000 4.946 0.000 0.000 0.000 16.983" Properties=species:S:1:pos:R:3 pbc="T T T"
Ba 0.000 0.000 0.000
Ba 0.000 2.473 4.246
Ba 2.473 0.000 12.737
Ba 2.473 2.473 8.491
As 0.000 0.000 8.491
As 0.000 2.473 12.737
As 2.473 0.000 4.246
As 2.473 2.473 0.000
Ru 0.062 1.236 10.614
Ru 1.236 2.534 14.860
Ru 1.236 4.884 6.369
Ru 2.411 1.236 2.123
Ru 2.534 3.709 2.123
Ru 3.709 0.062 6.369
Ru 3.709 2.411 14.860
Ru 4.884 3.709 10.614
```

## Properties
**ΔE_f**: 0.4 eV per formula unit


Entry 8:
A plane-wave DFT calculation with PBE was carried out for a relaxed structure of Ba2AsRu.

```
16
Lattice="11.838 0.000 0.000 0.000 11.838 0.000 0.000 0.000 4.715" Properties=species:S:1:pos:R:3 pbc="T T T"
Ba 0.733 2.960 0.589
Ba 2.960 6.652 1.768
Ba 2.960 11.105 4.126
Ba 5.186 2.960 2.947
Ba 6.652 8.879 2.947
Ba 8.879 0.733 4.126
Ba 8.879 5.186 1.768
Ba 11.105 8.879 0.589
As 0.000 0.000 2.358
As 0.000 5.919 3.536
As 5.919 0.000 1.179
As 5.919 5.919 0.000
Ru 0.000 0.000 0.000
Ru 0.000 5.919 1.179
Ru 5.919 0.000 3.536
Ru 5.919 5.919 2.358
```

## Properties
**ΔE_f**: -1.0 eV per formula unit